(1)
Entry from the Alexandria database: a geometry-optimized SmPuGeIr structure (PBE-GGA).

POSCAR file:
```
SmPuGeIr
1.0
-2.3284 -2.8822 3.3714
2.4234 -3.8432 2.1100
1.3257 0.2206 4.8259
Pu Sm Ir Ge
1 1 1 1
Direct
0.0000 0.0000 0.0000
0.5000 0.5000 0.5000
0.7500 0.7500 0.7500
0.2500 0.2500 0.2500
```

Properties
Crystal system: cubic
Energy: -8.57 eV per atom
Calculated density: 12.3 Mg/m³

***

(2)
Entry from the Alexandria database: a geometry-optimized Pu2SnGe3Ir4 structure (PBE-GGA).

POSCAR file:
```
Pu2SnGe3Ir4
1.0
-0.9348 -3.6524 1.9037
4.1105 -0.7034 0.6690
-0.6614 5.0605 9.3844
Ir Ge Pu Sn
4 3 2 1
Direct
0.0000 0.5000 0.3547
0.5000 0.5000 0.0000
0.5000 0.0000 0.6453
0.0000 0.0000 0.0000
0.5000 0.0000 0.8732
0.0000 0.5000 0.1268
0.0000 0.0000 0.5000
0.5000 0.0000 0.2422
0.0000 0.5000 0.7578
0.5000 0.5000 0.5000
```

Properties
Crystal system: tetragonal
Energy: -8.69 eV per atom
Calculated density: 13.9 Mg/m³

***

(3)
Entry from the Alexandria database: a geometry-optimized Pu2TaGe4Ir3 structure (PBE-GGA).

POSCAR file:
```
Pu2TaGe4Ir3
1.0
4.1535 0.0000 0.0000
0.0000 4.1535 0.0000
0.0000 0.0000 10.8818
Ge Ir Ta Pu
4 3 1 2
Direct
0.0000 0.5000 0.3519
0.5000 0.0000 0.6481
0.0000 0.0000 0.0000
0.5000 0.5000 0.0000
0.0000 0.0000 0.5000
0.0000 0.5000 0.1261
0.5000 0.0000 0.8739
0.5000 0.5000 0.5000
0.0000 0.5000 0.7546
0.5000 0.0000 0.2454
```

Properties
Crystal system: tetragonal
Energy: -9.04 eV per atom
Calculated density: 13.6 Mg/m³

***

(4)
Entry from the Alexandria database: a geometry-optimized PuTcGe2Ir structure (PBE-GGA).

POSCAR file:
```
PuTcGe2Ir
1.0
4.2457 0.0000 0.0000
0.0000 4.2457 0.0000
-2.1228 -2.1228 5.0992
Pu Ge Tc Ir
1 2 1 1
Direct
0.0000 0.0000 0.0000
0.6258 0.6258 0.2516
0.3742 0.3742 0.7484
0.7500 0.2500 0.5000
0.2500 0.7500 0.5000
```

Properties
Crystal system: tetragonal
Energy: -9.00 eV per atom
Calculated density: 12.3 Mg/m³

***

(5)
Entry from the Alexandria database: a geometry-optimized Pu2ThGe2Ir2 structure (PBE-GGA).

POSCAR file:
```
Pu2ThGe2Ir2
1.0
-3.6009 -0.9438 2.3787
-2.0383 -3.8841 -0.5245
3.0636 -5.0308 6.7439
Pu Ir Ge Th
2 2 2 1
Direct
0.8620 0.8620 0.4141
0.1380 0.1380 0.5859
0.4177 0.4177 0.7470
0.5823 0.5823 0.2530
0.7380 0.7380 0.7860
0.2620 0.2620 0.2140
0.0000 0.0000 0.0000
```

Properties
Crystal system: trigonal
Energy: -9.64 eV per atom
Calculated density: 14.3 Mg/m³

***

(6)
Entry from the Alexandria database: a geometry-optimized Pu2UGe3Ir4 structure (PBE-GGA).

POSCAR file:
```
Pu2UGe3Ir4
1.0
-3.3932 2.3767 0.7625
-0.9930 -0.1049 -4.0922
-5.9705 -9.0634 1.6811
Ir Pu U Ge
4 2 1 3
Direct
0.5000 0.0000 0.6522
0.0000 0.5000 0.3478
0.5000 0.5000 0.0000
0.0000 0.0000 0.0000
0.0000 0.5000 0.7634
0.5000 0.0000 0.2366
0.5000 0.5000 0.5000
0.0000 0.5000 0.1232
0.5000 0.0000 0.8768
0.0000 0.0000 0.5000
```

Properties
Crystal system: tetragonal
Energy: -9.45 eV per atom
Calculated density: 14.6 Mg/m³

***

(7)
Entry from the Alexandria database: a geometry-optimized PuU2Ge2Ir2 structure (PBE-GGA).

POSCAR file:
```
PuU2Ge2Ir2
1.0
4.4094 0.0000 0.0000
2.2047 3.8186 0.0000
2.2047 1.2729 8.2389
Pu U Ge Ir
1 2 2 2
Direct
0.0000 0.0000 0.0000
0.8560 0.8560 0.4319
0.1440 0.1440 0.5681
0.2670 0.2670 0.1991
0.7330 0.7330 0.8009
0.4303 0.4303 0.7090
0.5697 0.5697 0.2910
```

Properties
Crystal system: trigonal
Energy: -9.58 eV per atom
Calculated density: 15.0 Mg/m³

***

(8)
Entry from the Alexandria database: a geometry-optimized Pu2ZnGe3Ir4 structure (PBE-GGA).

POSCAR file:
```
Pu2ZnGe3Ir4
1.0
-3.2602 -1.8095 1.8254
2.0268 0.0031 3.6231
-4.0288 9.5241 2.2457
Pu Ge Ir Zn
2 3 4 1
Direct
0.5000 0.0000 0.2535
0.0000 0.5000 0.7465
0.0000 0.0000 0.5000
0.0000 0.5000 0.1291
0.5000 0.0000 0.8709
0.0000 0.0000 0.0000
0.5000 0.5000 0.0000
0.5000 0.0000 0.6400
0.0000 0.5000 0.3600
0.5000 0.5000 0.5000
```

Properties
Crystal system: tetragonal
Energy: -8.45 eV per atom
Calculated density: 14.0 Mg/m³

***

(9)
Entry from the Alexandria database: a geometry-optimized RbGeIr3 structure (PBE-GGA).

POSCAR file:
```
RbGeIr3
1.0
-0.5998 4.1830 2.1482
-2.1450 -2.1705 3.6276
4.1846 -0.5130 2.1674
Rb Ir Ge
1 3 1
Direct
0.5000 0.5000 0.5000
0.0000 0.5000 0.0000
0.0000 0.0000 0.5000
0.5000 0.0000 0.0000
0.0000 0.0000 0.0000
```

Properties
Crystal system: cubic
Energy: -5.34 eV per atom
Calculated density: 11.5 Mg/m³
Offset from the most stable computed form: 0.00 eV per formula unit

***

(10)
Entry from the Alexandria database: a geometry-optimized RbGe2Ir2 structure (PBE-GGA).

POSCAR file:
```
RbGe2Ir2
1.0
-4.5410 2.0721 -6.2828
-4.9615 -6.1075 1.5718
-1.5775 1.7210 1.7077
Ir Rb Ge
4 2 4
Direct
0.1309 0.3691 0.0000
0.3691 0.8691 0.0000
0.6309 0.1309 0.0000
0.8691 0.6309 0.0000
0.0000 0.0000 0.0000
0.5000 0.5000 0.0000
0.8561 0.3561 0.5000
0.1439 0.6439 0.5000
0.6439 0.8561 0.5000
0.3561 0.1439 0.5000
```

Properties
Crystal system: tetragonal
Energy: -5.42 eV per atom
Calculated density: 11.0 Mg/m³
Offset from the most stable computed form: 2.12 eV per formula unit

***

(11)
Entry from the Alexandria database: a geometry-optimized RbGeIr3 structure (PBE-GGA).

POSCAR file:
```
RbGeIr3
1.0
4.8978 0.0000 0.0000
0.0000 4.8978 0.0000
0.0000 0.0000 4.8978
Ir Ge Rb
3 1 1
Direct
0.5000 0.0000 0.0000
0.0000 0.0000 0.5000
0.0000 0.5000 0.0000
0.5000 0.5000 0.5000
0.0000 0.0000 0.0000
```

Properties
Crystal system: cubic
Energy: -3.27 eV per atom
Calculated density: 10.4 Mg/m³
Offset from the most stable computed form: 10.37 eV per formula unit

***

(12)
Entry from the Alexandria database: a geometry-optimized RbGe2Ir2 structure (PBE-GGA).

POSCAR file:
```
RbGe2Ir2
1.0
4.0714 0.0000 0.0000
0.0000 4.0714 0.0000
0.0000 0.0000 6.8936
Ge Rb Ir
2 1 2
Direct
0.5000 0.5000 0.7140
0.5000 0.5000 0.2860
0.0000 0.0000 0.0000
0.0000 0.5000 0.5000
0.5000 0.0000 0.5000
```

Properties
Crystal system: tetragonal
Energy: -5.58 eV per atom
Calculated density: 8.9 Mg/m³
Offset from the most stable computed form: 1.34 eV per formula unit